YTm2Al2Zn2 | PBE | relaxed

Summary:
As for the total magnetization: 0.0 μB per formula unit. As for the space-group type: R-3m. The value obtained for the density of states at the Fermi level is 0.553 states/eV/atom. Its formation energy is -0.309 eV/atom.

Cell: 4.492 4.492 9.300 Å, 76.02 76.02 60.00°
Fractional positions:
Al  0.262  0.262  0.215
Zn  0.401  0.401  0.798
Al  0.738  0.738  0.785
Tm  0.872  0.872  0.385
Tm  0.128  0.128  0.615
Zn  0.599  0.599  0.202
Y  0.000  0.000  0.000